# BaPBr2 (PBE, optimized geometry)
data_BaPBr2
_chemical_formula_sum 'Ba3 P3 Br6'
_cell_length_a 4.7821
_cell_length_b 4.7821
_cell_length_c 22.5173
_cell_angle_alpha 90.00
_cell_angle_beta 90.00
_cell_angle_gamma 120.00
_space_group_name_H-M_alt 'R 3 m'
_space_group_IT_number 160
_space_group_name_Hall 'R 3 -2"'
loop_
_atom_site_label
_atom_site_type_symbol
_atom_site_fract_x
_atom_site_fract_y
_atom_site_fract_z
Ba1 Ba 0.0000 0.0000 0.0000
P1 P 0.0000 0.0000 0.2430
Br1 Br 0.0000 0.0000 0.5625
Br2 Br 0.0000 0.0000 0.7415
# **ΔE_f (raw)**: -2.91 eV/f.u.
# **DOS(E_F)**: 0.559 states/eV per atom